No. 1
A plane-wave DFT calculation with PBEsol was carried out for an optimized crystal structure of Tc2HgPt.

The space group is P4/mmm (No. 123) and the conventional cell measures 2.737, 2.737 and 8.235 Å, with angles of 90.00, 90.00 and 90.00 degrees. The asymmetric unit holds Tc at (0.000, 0.000, 0.235), Hg at (0.500, 0.500, 0.500) and Pt at (0.500, 0.500, 0.000).

The energy of formation from the pure elements is 0.31 eV/atom. As for the total moment: 0.00 μB/f.u. The calculation puts the calculated total energy at -7.206 eV per atom.



No. 2
A plane-wave DFT calculation with PBEsol was carried out for an optimized crystal structure of LiCa2P.

The space group is F-43m (No. 216) and the conventional cell measures 7.131, 7.131 and 7.131 Å, with angles of 90.00, 90.00 and 90.00 degrees. The asymmetric unit holds Li at (0.000, 0.000, 0.000), Ca at (0.000, 0.000, 0.500), Ca at (0.250, 0.250, 0.750) and P at (0.250, 0.250, 0.250).

The energy of formation from the pure elements is -0.11 eV/atom. As for the total moment: 0.00 μB/f.u. The calculation puts the calculated total energy at -3.114 eV per atom.



No. 3
A plane-wave DFT calculation with PBEsol was carried out for an optimized crystal structure of CdCu2W.

The space group is I-4m2 (No. 119) and the conventional cell measures 3.864, 3.864 and 7.773 Å, with angles of 90.00, 90.00 and 90.00 degrees. The asymmetric unit holds Cd at (0.000, 0.000, 0.000), Cu at (0.000, 0.000, 0.500), Cu at (0.000, 0.500, 0.250) and W at (0.000, 0.500, 0.750).

The energy of formation from the pure elements is 0.71 eV/atom. As for the total moment: 0.80 μB/f.u. The calculation puts the calculated total energy at -5.209 eV per atom.



No. 4
A plane-wave DFT calculation with PBEsol was carried out for an optimized crystal structure of Li8BiS6.

The space group is P6_3cm (No. 185) and the conventional cell measures 6.9939, 6.9939 and 13.3341 Å, with angles of 90.00, 90.00 and 120.00 degrees. The asymmetric unit holds Li at (0.0000, 0.3286, 0.0000), Li at (0.0000, 0.3817, 0.6324), Li at (0.3333, 0.6667, 0.3713), Bi at (0.0000, 0.0000, 0.2757), S at (0.0000, 0.0000, 0.0787), S at (0.0000, 0.3580, 0.8154) and S at (0.3333, 0.6667, 0.0528).

As for the total moment: 0.00 μB/f.u. The calculation puts the calculated total energy at -4.132 eV per atom.



No. 5
A plane-wave DFT calculation with PBEsol was carried out for an optimized crystal structure of Li2MgTl.

The space group is Pmm2 (No. 25) and the conventional cell measures 3.404, 3.607 and 6.540 Å, with angles of 90.00, 90.00 and 90.00 degrees. The asymmetric unit holds Li at (0.000, 0.000, 0.000), Li at (0.500, 0.500, 0.237), Mg at (0.000, 0.000, 0.490) and Tl at (0.500, 0.500, 0.772).

The energy of formation from the pure elements is -0.17 eV/atom. As for the total moment: 0.00 μB/f.u. The calculation puts the calculated total energy at -2.237 eV per atom.



No. 6
A plane-wave DFT calculation with PBEsol was carried out for an optimized crystal structure of CsPrS2.

The space group is P6_3/mmc (No. 194) and the conventional cell measures 4.2107, 4.2107 and 15.9058 Å, with angles of 90.00, 90.00 and 120.00 degrees. The asymmetric unit holds Cs at (0.3333, 0.6667, 0.2500), Pr at (0.0000, 0.0000, 0.0000) and S at (0.3333, 0.6667, 0.5952).

As for the total moment: 0.00 μB/f.u. The calculation puts the calculated total energy at -5.552 eV per atom.



Values for DOS(E_F), states/eV/atom, ordered as above
1.14; 0.80; 0.97; 0.32; 0.35; 0.00